# TbPrSmS3 | the Alexandria database | GGA-PBE | relaxed
data_TbPrSmS3
_symmetry_space_group_name_H-M 'P 1 21/m 1'
_symmetry_Int_Tables_number 11
_symmetry_space_group_name_Hall '-P 2yb'
_cell_length_a 6.9434
_cell_length_b 3.9280
_cell_length_c 10.4699
_cell_angle_alpha 90.00
_cell_angle_beta 102.50
_cell_angle_gamma 90.00
loop_
_atom_site_label
_atom_site_fract_x
_atom_site_fract_y
_atom_site_fract_z
_atom_site_occupancy
Tb1 0.2332 0.2500 0.4447 1
Pr1 0.3451 0.7500 0.8034 1
Sm1 0.1260 0.7500 0.1314 1
S1 0.0523 0.2500 0.6541 1
S2 0.2808 0.2500 0.9961 1
S3 0.4537 0.7500 0.3420 1
# calculated volume = 23.23 Å³ per atom
# spin magnetization = 0.0 μB/f.u.
# density = 6509 kg/m³
# raw formation energy = -1.9290 eV per atom
# energy = -6.35 eV per atom

---

# TbPr3Sm3S8 | the Alexandria database | GGA-PBE | relaxed
data_TbPr3Sm3S8
_symmetry_space_group_name_H-M 'R -3 m'
_symmetry_Int_Tables_number 166
_symmetry_space_group_name_Hall '-R 3 2"'
_cell_length_a 8.0639
_cell_length_b 8.0639
_cell_length_c 19.9179
_cell_angle_alpha 90.00
_cell_angle_beta 90.00
_cell_angle_gamma 120.00
loop_
_atom_site_label
_atom_site_fract_x
_atom_site_fract_y
_atom_site_fract_z
_atom_site_occupancy
Tb1 0.0000 0.0000 0.0000 1
Pr1 0.0000 0.5000 0.5000 1
Sm1 0.0000 0.5000 0.0000 1
S1 0.0000 0.0000 0.2528 1
S2 0.0041 0.5020 0.7463 1
# calculated volume = 24.93 Å³ per atom
# spin magnetization = 0.0 μB/f.u.
# density = 5726 kg/m³
# raw formation energy = -2.0512 eV per atom
# energy = -6.46 eV per atom

---

What is the formula in the first record? TbPrSmS3

---

density of number 1 (TbPrSmS3)? 6509 kg/m³

---

Which formula does entry 1 have? TbPrSmS3

---

The highest density belongs to which entry? TbPrSmS3